No. 1
Entry from the Alexandria database: an optimized crystal structure of ZnFeN (PBE-GGA).

Results
Total magnetic moment = 0.752 μB/f.u.
Total DFT energy (no corrections) = -5.76 eV per atom

Cell lengths 10.118, 4.696, 3.450 Å; angles 90.00, 109.81, 90.00 degrees
Space group C2/m (No. 12)
Symmetry-distinct sites (fractional):
1 Zn 0.153 0.000 0.152 x4
2 Fe 0.000 0.255 0.500 x4
3 N 0.141 0.500 0.642 x4

No. 2
Entry from the Alexandria database: an optimized crystal structure of Pm6Sc5 (PBE-GGA).

Results
Total magnetic moment = 0.001 μB/f.u.
Energy of formation from the pure elements = 1.55 eV per formula unit

Cell lengths 9.870, 12.768, 5.782 Å; angles 90.00, 114.15, 90.00 degrees
Space group C2/m (No. 12)
Symmetry-distinct sites (fractional):
1 Pm 0.187 0.000 0.128 x4
2 Pm 0.189 0.147 0.643 x8
3 Sc 0.000 0.237 0.000 x4
4 Sc 0.000 0.375 0.500 x4
5 Sc 0.000 0.500 0.000 x2

No. 3
Entry from the Alexandria database: an optimized crystal structure of PmDyCoRu (PBE-GGA).

Results
Total magnetic moment = 0.000 μB/f.u.
Energy of formation from the pure elements = -0.54 eV per formula unit

Cell lengths 6.837, 6.837, 6.837 Å; angles 90.00, 90.00, 90.00 degrees
Space group F-43m (No. 216)
Symmetry-distinct sites (fractional):
1 Pm 0.000 0.000 0.000 x4
2 Dy 0.000 0.000 0.500 x4
3 Co 0.250 0.250 0.250 x4
4 Ru 0.250 0.250 0.750 x4